A plane-wave DFT calculation with PBE-GGA was carried out for a relaxed MnCuGeRu crystal.

D(E_F)   9.46 states/eV per cell
E_tot   -6.84 eV/atom
Formation energy   -0.049 eV per atom

Lattice parameters (Å, degrees): 5.9637 5.9637 5.9637 90.00 90.00 90.00
Space group F-43m (No. 216)
Asymmetric unit:
Mn  0.0000  0.0000  0.0000 (multiplicity 4)
Cu  0.2500  0.2500  0.2500 (multiplicity 4)
Ge  0.2500  0.2500  0.7500 (multiplicity 4)
Ru  0.0000  0.0000  0.5000 (multiplicity 4)


A plane-wave DFT calculation with PBE-GGA was carried out for a relaxed Tm6OsSe5 crystal.

D(E_F)   18.37 states/eV per cell
E_tot   -6.08 eV/atom

Lattice parameters (Å, degrees): 7.0844 12.2931 7.0455 90.00 109.69 90.00
Space group C2/m (No. 12)
Asymmetric unit:
Tm  0.2274  0.0000  0.2648 (multiplicity 4)
Tm  0.2299  0.1544  0.7317 (multiplicity 8)
Os  0.0000  0.0000  0.5000 (multiplicity 2)
Se  0.0000  0.1766  0.0000 (multiplicity 4)
Se  0.0000  0.3355  0.5000 (multiplicity 4)
Se  0.0000  0.5000  0.0000 (multiplicity 2)


A plane-wave DFT calculation with PBE-GGA was carried out for a relaxed B2C3 crystal.

D(E_F)   5.92 states/eV per cell
ΔE to the lowest computed polymorph   0.107 eV/atom
E_tot   -7.86 eV/atom
Formation energy   0.343 eV per atom

Lattice parameters (Å, degrees): 2.5292 2.5292 20.2786 90.00 90.00 90.00
Space group I-4m2 (No. 119)
Asymmetric unit:
B  0.0000  0.0000  0.0000 (multiplicity 2)
B  0.0000  0.0000  0.3979 (multiplicity 4)
B  0.0000  0.5000  0.7500 (multiplicity 2)
C  0.0000  0.0000  0.1971 (multiplicity 4)
C  0.0000  0.5000  0.1574 (multiplicity 4)
C  0.0000  0.5000  0.5518 (multiplicity 4)


A plane-wave DFT calculation with PBE-GGA was carried out for a relaxed Pm6HoEr3 crystal.

D(E_F)   64.30 states/eV per cell
ΔE to the lowest computed polymorph   0.000 eV/atom
E_tot   -4.55 eV/atom
Formation energy   0.127 eV per atom

Lattice parameters (Å, degrees): 9.7691 21.2529 6.4044 90.00 90.00 90.00
Space group Cmc2_1 (No. 36)
Asymmetric unit:
Pm  0.0000  0.0161  0.0000 (multiplicity 4)
Pm  0.0000  0.3005  0.0203 (multiplicity 4)
Pm  0.1750  0.2806  0.4926 (multiplicity 8)
Pm  0.1804  0.4400  0.2447 (multiplicity 8)
Ho  0.0000  0.1583  0.7998 (multiplicity 4)
Er  0.0000  0.4195  0.7245 (multiplicity 4)
Er  0.1677  0.1253  0.3245 (multiplicity 8)


A plane-wave DFT calculation with PBE-GGA was carried out for a relaxed RbTlZn2Sb crystal.

D(E_F)   4.86 states/eV per cell
E_tot   -1.19 eV/atom

Lattice parameters (Å, degrees): 6.1689 6.1689 6.7402 90.00 90.00 90.00
Space group P4/mmm (No. 123)
Asymmetric unit:
Rb  0.0000  0.0000  0.0000 (multiplicity 1)
Tl  0.5000  0.5000  0.5000 (multiplicity 1)
Zn  0.0000  0.5000  0.0000 (multiplicity 2)
Sb  0.0000  0.0000  0.5000 (multiplicity 1)


A plane-wave DFT calculation with PBE-GGA was carried out for a relaxed Mg2CoRe crystal.

D(E_F)   12.00 states/eV per cell
ΔE to the lowest computed polymorph   0.538 eV/atom
E_tot   -5.05 eV/atom
Formation energy   0.632 eV per atom

Lattice parameters (Å, degrees): 6.2689 6.2689 6.2689 90.00 90.00 90.00
Space group Fm-3m (No. 225)
Asymmetric unit:
Mg  0.2500  0.2500  0.2500 (multiplicity 8)
Co  0.0000  0.0000  0.0000 (multiplicity 4)
Re  0.0000  0.0000  0.5000 (multiplicity 4)


A plane-wave DFT calculation with PBE-GGA was carried out for a relaxed CuTcW2 crystal.

D(E_F)   15.55 states/eV per cell
ΔE to the lowest computed polymorph   0.168 eV/atom
E_tot   -9.73 eV/atom
Formation energy   0.365 eV per atom

Lattice parameters (Å, degrees): 2.7534 2.7534 27.7093 90.00 90.00 120.00
Space group R3m (No. 160, hexagonal axes)
Asymmetric unit:
Cu  0.0000  0.0000  0.0000 (multiplicity 3)
Tc  0.0000  0.0000  0.2534 (multiplicity 3)
W  0.0000  0.0000  0.5039 (multiplicity 3)
W  0.0000  0.0000  0.7478 (multiplicity 3)


A plane-wave DFT calculation with PBE-GGA was carried out for a relaxed PmHo14Mg crystal.

D(E_F)   18.15 states/eV per cell
E_tot   -4.38 eV/atom
Formation energy   0.021 eV per atom

Lattice parameters (Å, degrees): 7.0190 7.0190 9.9586 90.00 90.00 90.00
Space group P4/mmm (No. 123)
Asymmetric unit:
Pm  0.0000  0.0000  0.0000 (multiplicity 1)
Ho  0.0000  0.0000  0.5000 (multiplicity 1)
Ho  0.0000  0.5000  0.0000 (multiplicity 2)
Ho  0.0000  0.5000  0.5000 (multiplicity 2)
Ho  0.2493  0.2493  0.2505 (multiplicity 8)
Ho  0.5000  0.5000  0.5000 (multiplicity 1)
Mg  0.5000  0.5000  0.0000 (multiplicity 1)


A plane-wave DFT calculation with PBE-GGA was carried out for a relaxed AcTb9Th2 crystal.

D(E_F)   15.93 states/eV per cell
E_tot   -5.01 eV/atom
Formation energy   0.040 eV per atom

Lattice parameters (Å, degrees): 5.0821 5.0821 15.2734 90.00 90.00 90.00
Space group P4/mmm (No. 123)
Asymmetric unit:
Ac  0.0000  0.0000  0.0000 (multiplicity 1)
Tb  0.0000  0.5000  0.1754 (multiplicity 4)
Tb  0.0000  0.5000  0.5000 (multiplicity 2)
Tb  0.5000  0.5000  0.0000 (multiplicity 1)
Tb  0.5000  0.5000  0.3362 (multiplicity 2)
Th  0.0000  0.0000  0.3357 (multiplicity 2)


A plane-wave DFT calculation with PBE-GGA was carried out for a relaxed Sb2PdBr crystal.

D(E_F)   10.61 states/eV per cell
ΔE to the lowest computed polymorph   0.316 eV/atom
E_tot   -3.73 eV/atom

Lattice parameters (Å, degrees): 6.6722 6.6722 12.0686 90.00 90.00 90.00
Space group I-42d (No. 122)
Asymmetric unit:
Sb  0.1795  0.2500  0.1250 (multiplicity 8)
Pd  0.0000  0.0000  0.0000 (multiplicity 4)
Br  0.0000  0.0000  0.5000 (multiplicity 4)


A plane-wave DFT calculation with PBE-GGA was carried out for a relaxed Rb2BiI6Cl crystal.

D(E_F)   8.32 states/eV per cell
E_tot   -2.39 eV/atom

Lattice parameters (Å, degrees): 8.4453 8.4453 13.4580 90.00 90.00 90.00
Space group I4/mmm (No. 139)
Asymmetric unit:
Rb  0.0000  0.5000  0.2500 (multiplicity 4)
Bi  0.0000  0.0000  0.0000 (multiplicity 2)
I  0.0000  0.0000  0.2285 (multiplicity 4)
I  0.2473  0.2473  0.5000 (multiplicity 8)
Cl  0.0000  0.0000  0.5000 (multiplicity 2)


A plane-wave DFT calculation with PBE-GGA was carried out for a relaxed Ce7Pu2Ir2 crystal.

D(E_F)   42.22 states/eV per cell
E_tot   -8.23 eV/atom
Formation energy   -0.233 eV per atom

Lattice parameters (Å, degrees): 11.3421 9.6229 5.4128 90.00 118.23 90.00
Space group C2/m (No. 12)
Asymmetric unit:
Ce  0.0000  0.0000  0.0000 (multiplicity 2)
Ce  0.1642  0.5000  0.6650 (multiplicity 4)
Ce  0.1656  0.2979  0.1656 (multiplicity 8)
Pu  0.1519  0.0000  0.6503 (multiplicity 4)
Ir  0.0000  0.2576  0.5000 (multiplicity 4)


A plane-wave DFT calculation with PBE-GGA was carried out for a relaxed TmGe3Pd3 crystal.

D(E_F)   10.29 states/eV per cell
E_tot   -4.97 eV/atom
Formation energy   -0.127 eV per atom

Lattice parameters (Å, degrees): 6.7770 6.7770 6.7770 90.00 90.00 90.00
Space group Pm-3n (No. 223)
Asymmetric unit:
Tm  0.0000  0.0000  0.0000 (multiplicity 2)
Ge  0.0000  0.2500  0.5000 (multiplicity 6)
Pd  0.0000  0.5000  0.2500 (multiplicity 6)


A plane-wave DFT calculation with PBE-GGA was carried out for a relaxed Mg2RuAu crystal.

D(E_F)   3.68 states/eV per cell
E_tot   -3.97 eV/atom
Formation energy   -0.030 eV per atom

Lattice parameters (Å, degrees): 3.4130 3.4130 5.8884 90.00 90.00 90.00
Space group P4mm (No. 99)
Asymmetric unit:
Mg  0.0000  0.0000  0.0000 (multiplicity 1)
Mg  0.5000  0.5000  0.2986 (multiplicity 1)
Ru  0.0000  0.0000  0.5009 (multiplicity 1)
Au  0.5000  0.5000  0.7714 (multiplicity 1)


A plane-wave DFT calculation with PBE-GGA was carried out for a relaxed TmTl2GaBr6 crystal.

D(E_F)   0.00 states/eV per cell
E_tot   -3.43 eV/atom

Lattice parameters (Å, degrees): 8.0048 8.0048 20.2016 90.00 90.00 120.00
Space group R3 (No. 146, hexagonal axes)
Asymmetric unit:
Tm  0.0000  0.0000  0.0000 (multiplicity 3)
Tl  0.0000  0.0000  0.2964 (multiplicity 3)
Tl  0.0000  0.0000  0.7880 (multiplicity 3)
Ga  0.0000  0.0000  0.5075 (multiplicity 3)
Br  0.0168  0.4169  0.7415 (multiplicity 9)
Br  0.0853  0.7184  0.5822 (multiplicity 9)


A plane-wave DFT calculation with PBE-GGA was carried out for a relaxed Ce2ThAu4 crystal.

D(E_F)   29.43 states/eV per cell
E_tot   -5.10 eV/atom
Formation energy   -0.473 eV per atom

Lattice parameters (Å, degrees): 7.0847 7.0847 7.5643 90.00 90.00 90.00
Space group I4/mmm (No. 139)
Asymmetric unit:
Ce  0.0000  0.5000  0.0000 (multiplicity 4)
Th  0.0000  0.0000  0.0000 (multiplicity 2)
Au  0.2500  0.2500  0.2500 (multiplicity 8)


A plane-wave DFT calculation with PBE-GGA was carried out for a relaxed LuAlPdRh crystal.

D(E_F)   9.80 states/eV per cell
E_tot   -6.14 eV/atom
Formation energy   -0.935 eV per atom

Lattice parameters (Å, degrees): 6.4535 6.4535 6.4535 90.00 90.00 90.00
Space group F-43m (No. 216)
Asymmetric unit:
Lu  0.0000  0.0000  0.0000 (multiplicity 4)
Al  0.0000  0.0000  0.5000 (multiplicity 4)
Pd  0.2500  0.2500  0.2500 (multiplicity 4)
Rh  0.2500  0.2500  0.7500 (multiplicity 4)


A plane-wave DFT calculation with PBE-GGA was carried out for a relaxed Dy9Al2Tl crystal.

D(E_F)   17.58 states/eV per cell
E_tot   -4.46 eV/atom
Formation energy   -0.186 eV per atom

Lattice parameters (Å, degrees): 4.7882 4.7882 14.3645 90.00 90.00 90.00
Space group P4/mmm (No. 123)
Asymmetric unit:
Dy  0.0000  0.0000  0.0000 (multiplicity 1)
Dy  0.0000  0.0000  0.3360 (multiplicity 2)
Dy  0.0000  0.5000  0.1734 (multiplicity 4)
Dy  0.0000  0.5000  0.5000 (multiplicity 2)
Al  0.5000  0.5000  0.3348 (multiplicity 2)
Tl  0.5000  0.5000  0.0000 (multiplicity 1)


A plane-wave DFT calculation with PBE-GGA was carried out for a relaxed FeRh2Se crystal.

D(E_F)   5.35 states/eV per cell
E_tot   -6.55 eV/atom

Lattice parameters (Å, degrees): 4.4370 4.4370 2.9977 90.00 90.00 90.00
Space group P4/mmm (No. 123)
Asymmetric unit:
Fe  0.0000  0.0000  0.0000 (multiplicity 1)
Rh  0.0000  0.5000  0.5000 (multiplicity 2)
Se  0.5000  0.5000  0.0000 (multiplicity 1)


A plane-wave DFT calculation with PBE-GGA was carried out for a relaxed Hg12Te5As3 crystal.

D(E_F)   87.53 states/eV per cell
E_tot   -1.55 eV/atom

Lattice parameters (Å, degrees): 17.0740 17.0740 17.0740 90.00 90.00 90.00
Space group Ia-3d (No. 230)
Asymmetric unit:
Hg  0.0186  0.0891  0.6539 (multiplicity 96)
Te  0.0000  0.0000  0.0000 (multiplicity 16)
Te  0.0000  0.2500  0.3750 (multiplicity 24)
As  0.0000  0.2500  0.1250 (multiplicity 24)